1.
Entry from OQMD via LeMat-Bulk: a relaxed TbY2Sn5Pb2 crystal (PBE-GGA).

Cell: 13.501 13.501 4.485 Å, 90.00 90.00 161.00°
Sites, in units of the cell vectors:
1 Tb 0.000 0.000 0.000
2 Y 0.313 0.687 0.500
3 Y 0.687 0.313 0.500
4 Sn 0.096 0.904 0.500
5 Sn 0.404 0.596 0.000
6 Sn 0.500 0.500 0.500
7 Sn 0.596 0.404 0.000
8 Sn 0.904 0.096 0.500
9 Pb 0.209 0.791 0.000
10 Pb 0.791 0.209 0.000

The space group is Cmmm (65). The total magnetization comes out at 0.00 μB per formula unit. The energy above the most stable polymorph in this dataset is 11.4 meV per atom.


2.
Entry from OQMD via LeMat-Bulk: a relaxed ZnH6C2N4O4 crystal (PBE-GGA).

Cell: 6.481 4.960 8.863 Å, 90.00 108.31 90.00°
Sites, in units of the cell vectors:
1 Zn 0.000 0.225 0.000
2 Zn 0.000 0.775 0.500
3 H 0.225 0.180 0.652
4 H 0.225 0.820 0.152
5 H 0.375 0.013 0.555
6 H 0.375 0.987 0.055
7 H 0.498 0.058 0.352
8 H 0.498 0.942 0.852
9 H 0.595 0.426 0.599
10 H 0.595 0.574 0.099
11 H 0.668 0.480 0.384
12 H 0.668 0.520 0.884
13 H 0.864 0.342 0.318
14 H 0.864 0.658 0.818
15 C 0.299 0.395 0.289
16 C 0.299 0.605 0.789
17 C 0.803 0.100 0.677
18 C 0.803 0.900 0.177
19 N 0.273 0.009 0.123
20 N 0.273 0.991 0.623
21 N 0.381 0.153 0.261
22 N 0.381 0.847 0.761
23 N 0.707 0.335 0.697
24 N 0.707 0.665 0.197
25 N 0.794 0.479 0.839
26 N 0.794 0.521 0.339
27 O 0.135 0.494 0.179
28 O 0.135 0.506 0.679
29 O 0.394 0.483 0.919
30 O 0.394 0.517 0.419
31 O 0.736 0.016 0.040
32 O 0.736 0.984 0.540
33 O 0.952 0.002 0.295
34 O 0.952 0.998 0.795

The space group is Pc (7). The raw total energy comes out at -6.08 eV/atom.


3.
Entry from OQMD via LeMat-Bulk: a relaxed Li2LaLuIn2Au2 crystal (PBE-GGA).

Cell: 4.914 4.914 6.944 Å, 90.00 90.00 90.00°
Sites, in units of the cell vectors:
1 Li 0.000 0.500 0.236
2 Li 0.500 0.000 0.764
3 La 0.000 0.000 0.500
4 Lu 0.500 0.500 0.000
5 In 0.000 0.000 0.000
6 In 0.500 0.500 0.500
7 Au 0.000 0.500 0.771
8 Au 0.500 0.000 0.229

The space group is P-4m2 (115). The total magnetization comes out at 0.00 μB per formula unit. The raw total energy comes out at -3.75 eV/atom.


4.
Entry from OQMD via LeMat-Bulk: a relaxed SmErSi4Os2 crystal (PBE-GGA).

Cell: 4.437 4.101 8.154 Å, 90.00 101.85 90.00°
Sites, in units of the cell vectors:
1 Sm 0.000 0.000 0.000
2 Er 0.179 0.500 0.405
3 Si 0.246 0.000 0.692
4 Si 0.548 0.500 0.109
5 Si 0.622 0.000 0.289
6 Si 0.918 0.500 0.703
7 Os 0.466 0.500 0.813
8 Os 0.698 0.000 0.582

The space group is Pm (6). The total magnetization comes out at 0.00 μB per formula unit. The raw total energy comes out at -7.41 eV/atom.


5.
Entry from OQMD via LeMat-Bulk: a relaxed FeSb crystal (PBE-GGA).

Cell: 5.142 4.150 7.205 Å, 90.00 90.00 90.00°
Sites, in units of the cell vectors:
1 Fe 0.000 0.000 0.000
2 Fe 0.250 0.500 0.128
3 Fe 0.500 0.000 0.000
4 Fe 0.750 0.500 0.872
5 Sb 0.250 0.000 0.358
6 Sb 0.250 0.500 0.772
7 Sb 0.750 0.000 0.642
8 Sb 0.750 0.500 0.228

The space group is Pmma (51). The total magnetization comes out at 2.18 μB per formula unit. The raw total energy comes out at -6.16 eV/atom.


6.
Entry from OQMD via LeMat-Bulk: a relaxed MgNbHgIr crystal (PBE-GGA).

Cell: 4.596 4.596 4.596 Å, 60.00 60.00 60.00°
Sites, in units of the cell vectors:
1 Mg 0.000 0.000 0.000
2 Nb 0.250 0.250 0.250
3 Hg 0.750 0.750 0.750
4 Ir 0.500 0.500 0.500

The space group is F-43m (216). The total magnetization comes out at 0.00 μB per formula unit. The energy above the most stable polymorph in this dataset is 21.9 meV per atom.


7.
Entry from OQMD via LeMat-Bulk: a relaxed NaTePbAuSe2 crystal (PBE-GGA).

Cell: 7.333 7.333 12.008 Å, 90.00 90.00 147.72°
Sites, in units of the cell vectors:
1 Na 0.211 0.789 0.750
2 Na 0.789 0.211 0.250
3 Te 0.100 0.900 0.250
4 Te 0.900 0.100 0.750
5 Pb 0.000 0.000 0.000
6 Pb 0.000 0.000 0.500
7 Au 0.469 0.531 0.250
8 Au 0.531 0.469 0.750
9 Se 0.358 0.642 0.076
10 Se 0.358 0.642 0.424
11 Se 0.642 0.358 0.576
12 Se 0.642 0.358 0.924

The space group is Cmcm (63). The raw total energy comes out at -3.36 eV/atom.


8.
Entry from OQMD via LeMat-Bulk: a relaxed AlCdTcH6 crystal (PBE-GGA).

Cell: 4.589 4.589 4.589 Å, 60.00 60.00 60.00°
Sites, in units of the cell vectors:
1 Al 0.000 0.000 0.000
2 Cd 0.750 0.750 0.750
3 Tc 0.250 0.250 0.250
4 H 0.269 0.269 0.731
5 H 0.269 0.731 0.269
6 H 0.269 0.731 0.731
7 H 0.731 0.269 0.269
8 H 0.731 0.269 0.731
9 H 0.731 0.731 0.269

The space group is F-43m (216). The total magnetization comes out at 0.00 μB per formula unit. The raw total energy comes out at -3.34 eV/atom.


9.
Entry from OQMD via LeMat-Bulk: a relaxed RbReO3 crystal (PBE-GGA).

Cell: 3.956 3.956 3.956 Å, 90.00 90.00 90.00°
Sites, in units of the cell vectors:
1 Rb 0.000 0.000 0.000
2 Re 0.500 0.500 0.500
3 O 0.000 0.500 0.500
4 O 0.500 0.000 0.500
5 O 0.500 0.500 0.000

The space group is Pm-3m (221). The total magnetization comes out at 0.00 μB per formula unit. The raw total energy comes out at -7.20 eV/atom.


10.
Entry from OQMD via LeMat-Bulk: a relaxed GdTmIn crystal (PBE-GGA).

Cell: 5.165 5.165 5.165 Å, 60.00 60.00 60.00°
Sites, in units of the cell vectors:
1 Gd 0.000 0.000 0.000
2 Tm 0.500 0.500 0.500
3 In 0.250 0.250 0.250

The space group is F-43m (216). The total magnetization comes out at 0.07 μB per formula unit. The energy above the most stable polymorph in this dataset is 261.1 meV per atom.


11.
Entry from OQMD via LeMat-Bulk: a relaxed Hf4Nb2S3N3 crystal (PBE-GGA).

Cell: 5.760 5.760 12.215 Å, 103.36 103.36 60.23°
Sites, in units of the cell vectors:
1 Hf 0.015 0.216 0.098
2 Hf 0.151 0.301 0.402
3 Hf 0.216 0.015 0.598
4 Hf 0.301 0.151 0.902
5 Hf 0.699 0.849 0.098
6 Hf 0.784 0.985 0.402
7 Hf 0.849 0.699 0.598
8 Hf 0.985 0.784 0.902
9 Nb 0.386 0.530 0.098
10 Nb 0.470 0.614 0.402
11 Nb 0.530 0.386 0.598
12 Nb 0.614 0.470 0.902
13 S 0.091 0.909 0.250
14 S 0.254 0.416 0.746
15 S 0.416 0.254 0.246
16 S 0.584 0.746 0.754
17 S 0.746 0.584 0.254
18 S 0.909 0.091 0.750
19 N 0.000 0.500 0.000
20 N 0.137 0.681 0.499
21 N 0.319 0.863 0.001
22 N 0.500 0.000 0.500
23 N 0.681 0.137 0.999
24 N 0.863 0.319 0.501

The space group is C2/c (15). The total magnetization comes out at 0.00 μB per formula unit. The raw total energy comes out at -9.45 eV/atom.


12.
Entry from OQMD via LeMat-Bulk: a relaxed Y2GaFeBr2 crystal (PBE-GGA).

Cell: 4.087 4.087 11.181 Å, 90.00 90.00 120.00°
Sites, in units of the cell vectors:
1 Y 0.000 0.000 0.000
2 Y 0.000 0.000 0.344
3 Ga 0.667 0.333 0.167
4 Fe 0.333 0.667 0.171
5 Br 0.333 0.667 0.834
6 Br 0.667 0.333 0.508

The space group is P3m1 (156). The total magnetization comes out at 1.00 μB per formula unit. The raw total energy comes out at -5.60 eV/atom.


13.
Entry from OQMD via LeMat-Bulk: a relaxed RbAsAuO crystal (PBE-GGA).

Cell: 4.630 4.630 8.887 Å, 90.00 90.00 90.00°
Sites, in units of the cell vectors:
1 Rb 0.250 0.250 0.148
2 Rb 0.750 0.750 0.852
3 As 0.250 0.250 0.637
4 As 0.750 0.750 0.363
5 Au 0.250 0.750 0.500
6 Au 0.750 0.250 0.500
7 O 0.250 0.750 0.000
8 O 0.750 0.250 0.000

The space group is P4/nmm (129). The energy above the most stable polymorph in this dataset is 507.6 meV per atom.


14.
Entry from OQMD via LeMat-Bulk: a relaxed PmPt crystal (PBE-GGA).

Cell: 4.148 4.148 4.148 Å, 60.00 60.00 60.00°
Sites, in units of the cell vectors:
1 Pm 0.000 0.000 0.000
2 Pt 0.500 0.500 0.500

As for the energy relative to the elements: -1.06 eV per atom. The space group is Fm-3m (225). The total magnetization comes out at 0.00 μB per formula unit.


15.
Entry from OQMD via LeMat-Bulk: a relaxed AgS6Cl crystal (PBE-GGA).

Cell: 6.465 6.465 6.465 Å, 60.00 60.00 60.00°
Sites, in units of the cell vectors:
1 Ag 0.000 0.000 0.000
2 S 0.562 0.562 0.938
3 S 0.562 0.938 0.562
4 S 0.562 0.938 0.938
5 S 0.938 0.562 0.562
6 S 0.938 0.562 0.938
7 S 0.938 0.938 0.562
8 Cl 0.250 0.250 0.250

The space group is F-43m (216). The raw total energy comes out at -2.70 eV/atom.


16.
Entry from OQMD via LeMat-Bulk: a relaxed Sm2Dy2CIBr2Cl2 crystal (PBE-GGA).

Cell: 9.085 9.085 8.683 Å, 102.91 102.91 24.73°
Sites, in units of the cell vectors:
1 Sm 0.000 0.000 0.195
2 Sm 0.000 0.000 0.805
3 Dy 0.361 0.361 0.931
4 Dy 0.639 0.639 0.069
5 C 0.500 0.500 0.000
6 I 0.500 0.500 0.500
7 Br 0.173 0.173 0.846
8 Br 0.827 0.827 0.154
9 Cl 0.164 0.164 0.294
10 Cl 0.836 0.836 0.706

The space group is C2/m (12). The total magnetization comes out at 0.01 μB per formula unit. The energy above the most stable polymorph in this dataset is 0.0 meV per atom.


17.
Entry from OQMD via LeMat-Bulk: a relaxed Ta4AlPbN2 crystal (PBE-GGA).

Cell: 3.048 3.048 14.820 Å, 90.00 90.00 120.00°
Sites, in units of the cell vectors:
1 Ta 0.000 0.000 0.149
2 Ta 0.000 0.000 0.851
3 Ta 0.667 0.333 0.330
4 Ta 0.667 0.333 0.670
5 Al 0.667 0.333 0.000
6 Pb 0.000 0.000 0.500
7 N 0.333 0.667 0.239
8 N 0.333 0.667 0.761

The space group is P-6m2 (187). The total magnetization comes out at 0.00 μB per formula unit. The raw total energy comes out at -9.30 eV/atom.


18.
Entry from OQMD via LeMat-Bulk: a relaxed Na2Mg2AlGaIr2 crystal (PBE-GGA).

Cell: 4.536 4.536 6.408 Å, 90.00 90.00 90.00°
Sites, in units of the cell vectors:
1 Na 0.000 0.500 0.248
2 Na 0.500 0.000 0.752
3 Mg 0.000 0.000 0.000
4 Mg 0.500 0.500 0.500
5 Al 0.000 0.000 0.500
6 Ga 0.500 0.500 0.000
7 Ir 0.000 0.500 0.746
8 Ir 0.500 0.000 0.254

The space group is P-4m2 (115). The total magnetization comes out at 0.00 μB per formula unit. The raw total energy comes out at -3.97 eV/atom.


19.
Entry from OQMD via LeMat-Bulk: a relaxed AgPbSeO crystal (PBE-GGA).

Cell: 5.981 3.765 15.531 Å, 90.00 90.00 90.00°
Sites, in units of the cell vectors:
1 Ag 0.185 0.250 0.202
2 Ag 0.315 0.750 0.702
3 Ag 0.685 0.250 0.298
4 Ag 0.815 0.750 0.798
5 Pb 0.240 0.750 0.419
6 Pb 0.260 0.250 0.919
7 Pb 0.740 0.750 0.081
8 Pb 0.760 0.250 0.581
9 Se 0.246 0.750 0.088
10 Se 0.254 0.250 0.588
11 Se 0.746 0.750 0.412
12 Se 0.754 0.250 0.912
13 O 0.227 0.750 0.838
14 O 0.273 0.250 0.338
15 O 0.727 0.750 0.662
16 O 0.773 0.250 0.162

The space group is Pnma (62). The energy above the most stable polymorph in this dataset is 80.6 meV per atom.


20.
Entry from OQMD via LeMat-Bulk: a relaxed K2PdC4N4 crystal (PBE-GGA).

Cell: 4.246 7.838 13.061 Å, 90.00 94.03 90.00°
Sites, in units of the cell vectors:
1 K 0.214 0.050 0.340
2 K 0.214 0.450 0.840
3 K 0.786 0.550 0.160
4 K 0.786 0.950 0.660
5 Pd 0.500 0.000 0.000
6 Pd 0.500 0.500 0.500
7 C 0.345 0.219 0.055
8 C 0.345 0.281 0.555
9 C 0.347 0.626 0.618
10 C 0.347 0.874 0.118
11 C 0.653 0.126 0.882
12 C 0.653 0.374 0.382
13 C 0.655 0.719 0.445
14 C 0.655 0.781 0.945
15 N 0.256 0.149 0.584
16 N 0.256 0.351 0.084
17 N 0.262 0.706 0.687
18 N 0.262 0.794 0.187
19 N 0.738 0.206 0.813
20 N 0.738 0.294 0.313
21 N 0.744 0.649 0.916
22 N 0.744 0.851 0.416

The space group is P2_1/c (14). The raw total energy comes out at -7.17 eV/atom.